Computed, not measured: an optimized crystal structure of NpCo2SnO8 at the PBE+U level of DFT.

Computed properties:
calculated total energy: -7.10 eV/atom
spin magnetization: 7.01 μB/f.u.
theoretical density: 6.669 g cm⁻³

Lattice parameters (Å, degrees): 6.5965 6.5965 6.8842 90.00 90.00 90.00
With the nearest neighbours (Å) after each atom.
Space group I-4m2 (No. 119)
Inequivalent atoms, fractional coordinates:
Np (0.0000, 0.0000, 0.0000)  4 O 2.01
Co (0.0000, 0.0000, 0.5000)  4 O 1.85
Co (0.0000, 0.5000, 0.7500)  4 O 1.93
Sn (0.0000, 0.5000, 0.2500)  4 O 2.07
O (0.0000, 0.1905, 0.3021)  1 Co 1.85, 1 Sn 2.07
O (0.0000, 0.3008, 0.9548)  1 Co 1.93, 1 Np 2.01